# PBEsol Tb12Co7, optimized geometry
# Energy of formation = -0.163 eV per atom
# Total magnetic moment = 0.00 μB per formula unit
# Uncorrected energy = -234.768 eV for the cell shown
data_Tb12Co7
_symmetry_space_group_name_H-M 'P 1 21/c 1'
_symmetry_Int_Tables_number 14
_cell_length_a 8.147
_cell_length_b 11.101
_cell_length_c 10.845
_cell_angle_alpha 90.00
_cell_angle_beta 125.46
_cell_angle_gamma 90.00
loop_
_symmetry_equiv_pos_as_xyz
'x,y,z'
'-x,-y,-z'
'-x,y+1/2,-z+1/2'
'x,-y+1/2,z+1/2'
loop_
_atom_site_label
_atom_site_fract_x
_atom_site_fract_y
_atom_site_fract_z
Tb1 0.004 0.161 0.341
Tb2 0.241 0.569 0.811
Tb3 0.253 0.199 0.176
Tb4 0.265 0.706 0.540
Tb5 0.266 0.069 0.914
Tb6 0.341 0.503 0.146
Co1 0.000 0.000 0.000
Co2 0.004 0.100 0.599
Co3 0.398 0.683 0.343
Co4 0.407 0.180 0.475

# PBEsol TbCo5, optimized geometry
# Energy of formation = -0.089 eV per atom
# Total magnetic moment = 6.88 μB per formula unit
# Uncorrected energy = -44.228 eV for the cell shown
data_TbCo5
_symmetry_space_group_name_H-M 'P 6/m m m'
_symmetry_Int_Tables_number 191
_symmetry_space_group_name_Hall '-P 6 2'
_cell_length_a 4.8331
_cell_length_b 4.8331
_cell_length_c 3.8889
_cell_angle_alpha 90.00
_cell_angle_beta 90.00
_cell_angle_gamma 120.00
loop_
_atom_site_label
_atom_site_fract_x
_atom_site_fract_y
_atom_site_fract_z
Tb1 0.0000 0.0000 0.0000
Co1 0.0000 0.5000 0.5000
Co2 0.3333 0.6667 0.0000

# PBEsol CoTc5, optimized geometry
# Energy of formation = 0.048 eV per atom
# Total magnetic moment = 0.00 μB per formula unit
# Uncorrected energy = -127.564 eV for the cell shown
# Energy relative to the lowest polymorph listed for this composition = 0.048 eV/atom
data_CoTc5
_symmetry_space_group_name_H-M 'C m m m'
_symmetry_Int_Tables_number 65
_symmetry_space_group_name_Hall '-C 2 2'
_cell_length_a 3.763
_cell_length_b 11.315
_cell_length_c 3.752
_cell_angle_alpha 90.00
_cell_angle_beta 90.00
_cell_angle_gamma 90.00
loop_
_atom_site_label
_atom_site_fract_x
_atom_site_fract_y
_atom_site_fract_z
Co1 0.000 0.000 0.000
Tc1 0.000 0.162 0.500
Tc2 0.000 0.339 0.000
Tc3 0.000 0.500 0.500

# PBEsol Co3Tc, optimized geometry
# Energy of formation = 0.093 eV per atom
# Total magnetic moment = 3.72 μB per formula unit
# Uncorrected energy = -34.106 eV for the cell shown
data_Co3Tc
_symmetry_space_group_name_H-M 'P -6 m 2'
_symmetry_Int_Tables_number 187
_symmetry_space_group_name_Hall 'P -6 2'
_cell_length_a 2.5582
_cell_length_b 2.5582
_cell_length_c 7.9817
_cell_angle_alpha 90.00
_cell_angle_beta 90.00
_cell_angle_gamma 120.00
loop_
_atom_site_label
_atom_site_fract_x
_atom_site_fract_y
_atom_site_fract_z
Co1 0.0000 0.0000 0.0000
Co2 0.3333 0.6667 0.2408
Tc1 0.0000 0.0000 0.5000

# PBEsol CoTc3, optimized geometry
# Energy of formation = -0.006 eV per atom
# Total magnetic moment = 0.00 μB per formula unit
# Uncorrected energy = -249.356 eV for the cell shown
# Energy relative to the lowest polymorph listed for this composition = 0.029 eV/atom
data_CoTc3
_symmetry_space_group_name_H-M 'P m m n'
_symmetry_Int_Tables_number 59
_cell_length_a 5.314
_cell_length_b 12.811
_cell_length_c 4.566
_cell_angle_alpha 90.00
_cell_angle_beta 90.00
_cell_angle_gamma 90.00
loop_
_symmetry_equiv_pos_as_xyz
'x,y,z'
'-x,-y,-z'
'-x+1/2,-y+1/2,z'
'x+1/2,y+1/2,-z'
'x+1/2,-y,-z'
'-x+1/2,y,z'
'-x,y+1/2,-z'
'x,-y+1/2,z'
loop_
_atom_site_label
_atom_site_fract_x
_atom_site_fract_y
_atom_site_fract_z
Co1 0.250 0.082 0.164
Co2 0.250 0.750 0.491
Tc1 0.001 0.750 0.989
Tc2 0.002 0.086 0.668
Tc3 0.250 0.250 0.500
Tc4 0.250 0.584 0.831

# PBEsol CoTc3, optimized geometry
# Energy of formation = 0.014 eV per atom
# Total magnetic moment = 0.00 μB per formula unit
# Uncorrected energy = -41.480 eV for the cell shown
# Energy relative to the lowest polymorph listed for this composition = 0.049 eV/atom
data_CoTc3
_symmetry_space_group_name_H-M 'P m -3 m'
_symmetry_Int_Tables_number 221
_symmetry_space_group_name_Hall '-P 4 2 3'
_cell_length_a 3.726
_cell_length_b 3.726
_cell_length_c 3.726
_cell_angle_alpha 90.00
_cell_angle_beta 90.00
_cell_angle_gamma 90.00
loop_
_atom_site_label
_atom_site_fract_x
_atom_site_fract_y
_atom_site_fract_z
Co1 0.000 0.000 0.000
Tc1 0.000 0.500 0.500

# PBEsol Co3Tc, optimized geometry
# Energy of formation = 0.062 eV per atom
# Total magnetic moment = 3.59 μB per formula unit
# Uncorrected energy = -34.228 eV for the cell shown
data_Co3Tc
_symmetry_space_group_name_H-M 'P 4/m m m'
_symmetry_Int_Tables_number 123
_symmetry_space_group_name_Hall '-P 4 2'
_cell_length_a 2.540
_cell_length_b 2.540
_cell_length_c 6.916
_cell_angle_alpha 90.00
_cell_angle_beta 90.00
_cell_angle_gamma 90.00
loop_
_atom_site_label
_atom_site_fract_x
_atom_site_fract_y
_atom_site_fract_z
Co1 0.000 0.000 0.000
Co2 0.500 0.500 0.236
Tc1 0.000 0.000 0.500

# PBEsol CoTc5, optimized geometry
# Energy of formation = 0.001 eV per atom
# Total magnetic moment = 0.00 μB per formula unit
# Uncorrected energy = -128.130 eV for the cell shown
# Energy relative to the lowest polymorph listed for this composition = 0.000 eV/atom
data_CoTc5
_symmetry_space_group_name_H-M 'C 1 m 1'
_symmetry_Int_Tables_number 8
_cell_length_a 9.728
_cell_length_b 2.685
_cell_length_c 6.299
_cell_angle_alpha 90.00
_cell_angle_beta 103.99
_cell_angle_gamma 90.00
loop_
_symmetry_equiv_pos_as_xyz
'x,y,z'
'x,-y,z'
'x+1/2,y+1/2,z'
'x+1/2,-y+1/2,z'
loop_
_atom_site_label
_atom_site_fract_x
_atom_site_fract_y
_atom_site_fract_z
Co1 0.000 0.000 0.000
Tc1 0.055 0.000 0.616
Tc2 0.165 0.500 0.327
Tc3 0.220 0.500 0.948
Tc4 0.339 0.000 0.670
Tc5 0.395 0.000 0.270